No. 1
! PBE K6H5Br, optimized geometry; values from VASP
&SYSTEM
  ibrav = 0, nat = 12, ntyp = 3
/
ATOMIC_SPECIES
K 39.10 K.upf
H 1.01 H.upf
Br 79.90 Br.upf
CELL_PARAMETERS angstrom
3.606 -6.247 0.000
3.606 6.247 0.000
-2.396 0.000 6.764
ATOMIC_POSITIONS angstrom
K 1.079 2.263 1.648
K -0.171 0.000 5.238
K 1.079 -2.263 1.648
K 3.737 2.263 5.116
K 4.987 0.000 1.526
K 3.737 -2.263 5.116
H 0.000 0.000 0.000
H 2.408 4.151 3.382
H 3.606 2.091 0.000
H 3.606 -2.091 0.000
H 2.408 -4.151 3.382
Br 2.408 0.000 3.382
! Calculated density, g/cm3: 1.7
! Raw total energy, eV/atom: -2.529
! Magnetization, Bohr magnetons per cell: 0.097

No. 2
! PBE BaSrNi4, optimized geometry; values from VASP
&SYSTEM
  ibrav = 0, nat = 6, ntyp = 3
/
ATOMIC_SPECIES
Ba 137.33 Ba.upf
Sr 87.62 Sr.upf
Ni 58.69 Ni.upf
CELL_PARAMETERS angstrom
0.000 3.771 3.771
3.771 0.000 3.771
3.771 3.771 0.000
ATOMIC_POSITIONS angstrom
Ba 0.000 0.000 0.000
Sr 1.886 1.886 1.886
Ni 4.709 2.834 2.834
Ni 2.834 4.709 2.834
Ni 2.834 2.834 4.709
Ni 4.709 4.709 4.709
! Formation enthalpy at 0 K, eV per formula unit: 0.58
! Calculated density, g/cm3: 7.1
! Magnetization, Bohr magnetons per cell: 0.000